# 1
Density functional theory data (GGA-PBE) for crystalline BeNbCoCu at its relaxed geometry.

Cell: 4.1365 4.1365 4.1365 Å, 60.00 60.00 60.00°
Element x y z (fractional)
Be1 0.0000 0.0000 0.0000
Nb1 0.5000 0.5000 0.5000
Co1 0.2500 0.2500 0.2500
Cu1 0.7500 0.7500 0.7500

Output
The mass density is 7.445 g/cm³. Its energy of formation is 0.006 eV/atom.


# 2
Density functional theory data (GGA-PBE) for crystalline BeCoCuNi at its relaxed geometry.

Cell: 3.8883 3.8883 3.8883 Å, 60.00 60.00 60.00°
Element x y z (fractional)
Be1 0.0000 0.0000 0.0000
Co1 0.7500 0.7500 0.7500
Cu1 0.2500 0.2500 0.2500
Ni1 0.5000 0.5000 0.5000

Output
The mass density is 7.597 g/cm³. Its energy of formation is 0.011 eV/atom.